Density functional theory data (GGA-PBE) for a relaxed MnAgTe2 crystal.

```
data_MnAgTe2
_cell_length_a 7.4292
_cell_length_b 7.4292
_cell_length_c 7.2416
_cell_angle_alpha 90.00
_cell_angle_beta 90.00
_cell_angle_gamma 90.00
_symmetry_space_group_name_H-M 'I 4/m c m'
_symmetry_Int_Tables_number 140
_symmetry_space_group_name_Hall '-I 4 2c'
loop_
_atom_site_label
_atom_site_type_symbol
_atom_site_fract_x
_atom_site_fract_y
_atom_site_fract_z
_atom_site_occupancy
Mn1 Mn 0.0000 0.5000 0.2500 1
Ag1 Ag 0.0000 0.0000 0.2500 1
Te1 Te 0.1893 0.3107 0.0000 1
```

Computed properties:
**M_tot**: 15.862 μB/cell
**ΔE_f (raw)**: 0.485 eV/f.u.